1.
Crystalline Y4Cu2Ru at its relaxed geometry. Source: Alexandria via LeMat-Bulk, functional PBE-GGA.

Results
ρ = 5.90 g/cm³
Symmetry = R-3m, No. 166
E = -0.2346 Ha/atom

a b c (Å): 4.888 4.888 8.425
angles (deg): 73.14 73.14 60.00
Sites, in units of the cell vectors:
Y 0.877 0.877 0.368
Y 0.123 0.123 0.632
Y 0.626 0.626 0.123
Y 0.374 0.374 0.877
Ru 0.000 0.000 0.000
Cu 0.749 0.749 0.754
Cu 0.251 0.251 0.246

***

2.
Crystalline Y2CuRu at its relaxed geometry. Source: Alexandria via LeMat-Bulk, functional PBE-GGA.

Results
ρ = 6.88 g/cm³
Symmetry = Pmmm, No. 47
E = -0.2536 Ha/atom

a b c (Å): 3.441 3.424 7.809
angles (deg): 63.99 90.00 90.00
Sites, in units of the cell vectors:
Y 0.000 0.011 0.989
Y 0.000 0.489 0.511
Ru 0.500 0.750 0.750
Cu 0.500 0.250 0.250

***

3.
Crystalline YCu3Ru at its relaxed geometry. Source: Alexandria via LeMat-Bulk, functional PBE-GGA.

Results
ρ = 6.44 g/cm³
Symmetry = Pm-3m, No. 221
E = -0.1873 Ha/atom

a b c (Å): 4.612 4.612 4.612
angles (deg): 90.00 90.00 90.00
Sites, in units of the cell vectors:
Y 0.500 0.500 0.500
Ru 0.000 0.000 0.000
Cu 0.000 0.500 0.000
Cu 0.000 0.000 0.500
Cu 0.500 0.000 0.000

***

4.
Crystalline YCuRu at its relaxed geometry. Source: Alexandria via LeMat-Bulk, functional PBE-GGA.

Results
ρ = 7.11 g/cm³
Symmetry = F-43m, No. 216
E = -0.2349 Ha/atom

a b c (Å): 4.375 4.375 4.375
angles (deg): 60.00 60.00 60.00
Sites, in units of the cell vectors:
Cu 0.750 0.750 0.750
Ru 0.000 0.000 0.000
Y 0.500 0.500 0.500

***

5.
Crystalline Y8Cu2Ru at its relaxed geometry. Source: Alexandria via LeMat-Bulk, functional PBE-GGA.

Results
ρ = 5.23 g/cm³
Symmetry = Cm, No. 8
E = -0.2330 Ha/atom

a b c (Å): 5.869 7.766 7.766
angles (deg): 115.81 100.77 100.77
Sites, in units of the cell vectors:
Y 0.589 0.337 0.089
Y 0.589 0.089 0.337
Y 0.177 0.364 0.364
Y 0.991 0.208 0.795
Y 0.991 0.795 0.208
Y 0.810 0.644 0.644
Y 0.374 0.914 0.667
Y 0.374 0.667 0.914
Ru 0.117 0.004 0.004
Cu 0.495 0.702 0.309
Cu 0.495 0.309 0.702

***

6.
Crystalline YCuRu3 at its relaxed geometry. Source: Alexandria via LeMat-Bulk, functional PBE-GGA.

Results
ρ = 6.53 g/cm³
Symmetry = Pm-3m, No. 221
E = -0.2021 Ha/atom

a b c (Å): 4.874 4.874 4.874
angles (deg): 90.00 90.00 90.00
Sites, in units of the cell vectors:
Y 0.000 0.000 0.000
Ru 0.000 0.500 0.000
Ru 0.000 0.000 0.500
Ru 0.500 0.000 0.000
Cu 0.500 0.500 0.500

***

no.,spin magnetization (μB/cell)
1,0.00
2,0.00
3,0.00
4,0.00
5,0.00
6,4.38